Density functional theory data (GGA+U) for crystalline FeP2AuO at its relaxed geometry.

## Properties
Total moment   0.75 μB per atom
Uncorrected energy   -3.85 eV per atom
DOS at the Fermi energy   5.24 states/eV/f.u.

Cell lengths 4.870, 4.870, 3.929 Å; angles 90.00, 90.00, 90.00 degrees
Space group P4/mmm (No. 123)
Asymmetric unit:
1 Fe 0.000 0.000 0.000 (multiplicity 1)
2 P 0.000 0.500 0.500 (multiplicity 2)
3 Au 0.500 0.500 0.500 (multiplicity 1)
4 O 0.500 0.500 0.000 (multiplicity 1)